## CsSr2Ca (GGA-PBE)

Data for crystalline CsSr2Ca at its relaxed geometry.

## Properties
size of the total moment: 0.00 μB per atom
polymorph energy (0 for the lowest one): 0.017 eV per atom
raw total energy: -5.72 eV/cell
ΔE_f: 0.12 eV/atom
space-group type: R3m

a = 4.3137 Å, b = 4.3137 Å, c = 14.8614 Å
α = 81.66°, β = 81.66°, γ = 60.00°
Atoms (fractional coordinates):
Cs: 0.4999 0.4999 0.5004
Sr: 0.0737 0.0737 0.7790
Sr: 0.2597 0.2597 0.2208
Ca: 0.6667 0.6667 0.9998

=====

## DySc3Rh (GGA-PBE)

Data for crystalline DySc3Rh at its relaxed geometry.

## Properties
size of the total moment: 0.00 μB per atom
polymorph energy (0 for the lowest one): 0.016 eV per atom
raw total energy: -32.19 eV/cell
ΔE_f: -0.25 eV/atom
space-group type: Pm-3m

a = 5.0645 Å, b = 5.0645 Å, c = 5.0645 Å
α = 90.00°, β = 90.00°, γ = 90.00°
Atoms (fractional coordinates):
Sc: 0.0000 0.5000 0.0000
Sc: 0.0000 0.0000 0.5000
Sc: 0.5000 0.0000 0.0000
Rh: 0.0000 0.0000 0.0000
Dy: 0.5000 0.5000 0.5000

=====

## InCu2CI (GGA-PBE)

Data for crystalline InCu2CI at its relaxed geometry.

## Properties
size of the total moment: 0.00 μB per atom
E_form (uncorrected): 1.708 eV/atom
raw total energy: -13.16 eV/cell
space-group type: P4/mmm

a = 5.0276 Å, b = 4.2990 Å, c = 5.0276 Å
α = 90.00°, β = 90.00°, γ = 90.00°
Atoms (fractional coordinates):
I: 0.0000 0.0000 0.0000
C: 0.0000 0.5000 0.0000
Cu: 0.0000 0.0000 0.5000
Cu: 0.5000 0.0000 0.0000
In: 0.5000 0.5000 0.5000

=====

## CaYTe2I (GGA-PBE)

Data for crystalline CaYTe2I at its relaxed geometry.

## Properties
size of the total moment: 0.00 μB per atom
polymorph energy (0 for the lowest one): 0.447 eV per atom
E_form (uncorrected): -0.510 eV/atom
raw total energy: -18.85 eV/cell
space-group type: P4/mmm

a = 5.8614 Å, b = 5.8614 Å, c = 5.5944 Å
α = 90.00°, β = 90.00°, γ = 90.00°
Atoms (fractional coordinates):
I: 0.0000 0.0000 0.5000
Y: 0.5000 0.5000 0.5000
Ca: 0.0000 0.0000 0.0000
Te: 0.0000 0.5000 0.0000
Te: 0.5000 0.0000 0.0000

=====

## K2CrH (GGA-PBE)

Data for crystalline K2CrH at its relaxed geometry.

## Properties
size of the total moment: 1.27 μB per atom
polymorph energy (0 for the lowest one): 0.000 eV per atom
raw total energy: -25.13 eV/cell
space-group type: I-42d

a = 8.0728 Å, b = 8.0728 Å, c = 7.2514 Å
α = 56.18°, β = 56.18°, γ = 90.00°
Atoms (fractional coordinates):
Cr: 0.0000 0.0000 0.0000
Cr: 0.7500 0.2500 0.5000
K: 0.5207 0.1250 0.2500
K: 0.2293 0.6250 0.2500
K: 0.3750 0.4793 0.7500
K: 0.8750 0.7707 0.7500
H: 0.5000 0.5000 0.0000
H: 0.2500 0.7500 0.5000

=====

## ReMoW2 (GGA-PBE)

Data for crystalline ReMoW2 at its relaxed geometry.

## Properties
size of the total moment: 0.00 μB per atom
polymorph energy (0 for the lowest one): 0.307 eV per atom
raw total energy: -47.93 eV/cell
ΔE_f: 0.31 eV/atom
space-group type: I-4m2

a = 5.0421 Å, b = 5.0421 Å, c = 5.0421 Å
α = 134.61°, β = 134.61°, γ = 66.13°
Atoms (fractional coordinates):
Mo: 0.5000 0.5000 0.0000
Re: 0.7500 0.2500 0.5000
W: 0.0000 0.0000 0.0000
W: 0.2500 0.7500 0.5000

=====

- size of the total moment of number 5 (K2CrH)?
  1.27 μB per atom

=====

- The lowest raw total energy belongs to which entry?
  ReMoW2